Entry 1:
VASP calculation (GGA-PBEsol) on a geometry-optimized CrSe2I structure.

The calculation puts the uncorrected formation energy at 0.53 eV/atom. The value obtained for the volume is 24.761 Å³/atom.

The space group is R-3m (No. 166, hexagonal axes) and the conventional cell measures 3.0672, 3.0672 and 36.4708 Å, with angles of 90.00, 90.00 and 120.00 degrees. The distinct sites, in fractional coordinates, are Cr at (0.0000, 0.0000, 0.0000), Se at (0.0000, 0.0000, 0.0649) and I at (0.0000, 0.0000, 0.5000).


Entry 2:
VASP calculation (GGA-PBEsol) on a geometry-optimized SbSeI structure.

The calculation puts the uncorrected formation energy at -0.32 eV/atom. The value obtained for the volume is 30.801 Å³/atom.

The space group is Pnma (No. 62) and the conventional cell measures 8.6019, 4.0926 and 10.4988 Å, with angles of 90.00, 90.00 and 90.00 degrees. The distinct sites, in fractional coordinates, are Sb at (0.1201, 0.2500, 0.1295), Se at (0.1699, 0.7500, 0.9538) and I at (0.0224, 0.2500, 0.6764).


Entry 3:
VASP calculation (GGA-PBEsol) on a geometry-optimized Sc5Te structure.

For the energy above the lowest structure with this stoichiometry, the calculation gives 0.014 eV per atom. The calculation puts the uncorrected formation energy at -0.35 eV/atom. The value obtained for the volume is 22.929 Å³/atom.

The space group is Cm (No. 8) and the conventional cell measures 11.1973, 3.5139 and 7.2544 Å, with angles of 90.00, 105.43 and 90.00 degrees. The distinct sites, in fractional coordinates, are Sc at (0.0000, 0.0000, 0.0000), Sc at (0.0227, 0.0000, 0.5895), Sc at (0.1400, 0.5000, 0.3315), Sc at (0.3139, 0.0000, 0.6782), Sc at (0.3568, 0.0000, 0.2509) and Te at (0.2013, 0.5000, 0.9320).


Number 1: final energy -4.402 eV/atom. Number 2: final energy -3.711 eV/atom. Number 3: final energy -6.442 eV/atom.